VASP calculation (GGA-PBEsol) on an optimized crystal structure of IrSe2SO.

Structure (extended XYZ):
```
5
Lattice="4.956 0.000 0.000 0.000 4.956 0.000 0.000 0.000 3.661" Properties=species:S:1:pos:R:3 pbc="T T T"
Ir 0.000 0.000 0.000
Se 0.000 2.478 0.000
Se 2.478 0.000 0.000
S 2.478 2.478 1.831
O 0.000 0.000 1.831
```

Values from the calculation:
Its uncorrected formation energy is 0.258 eV/atom. The calculation puts the electronic total energy at -5.173 eV per atom.